# 1
Density functional theory data (GGA-PBE) for crystalline LiCa8Bi6 at its relaxed geometry.

Calculated formation energy (meV/atom): -754
Electronic total energy (eV for the cell shown): -52.52

Cell lengths 8.702, 8.702, 8.702 Å; angles 65.57, 65.57, 65.57 degrees
Element x y z (fractional)
Li  0.000  0.000  0.000
Ca  0.104  0.782  0.415
Ca  0.218  0.585  0.896
Ca  0.332  0.332  0.332
Ca  0.415  0.104  0.782
Ca  0.585  0.896  0.218
Ca  0.668  0.668  0.668
Ca  0.782  0.415  0.104
Ca  0.896  0.218  0.585
Bi  0.069  0.417  0.730
Bi  0.270  0.931  0.583
Bi  0.417  0.730  0.069
Bi  0.583  0.270  0.931
Bi  0.730  0.069  0.417
Bi  0.931  0.583  0.270

# 2
Density functional theory data (GGA-PBE) for crystalline Ba7Sn3Se13 at its relaxed geometry.

Electronic total energy (eV for the cell shown): -413.90
ΔE_f (raw) (eV/atom): -1.42

Cell lengths 12.880, 25.480, 9.414 Å; angles 90.00, 90.00, 90.00 degrees
Element x y z (fractional)
Ba  0.025  0.159  0.087
Ba  0.025  0.341  0.087
Ba  0.146  0.750  0.399
Ba  0.156  0.157  0.603
Ba  0.156  0.343  0.603
Ba  0.187  0.530  0.619
Ba  0.187  0.970  0.619
Ba  0.313  0.030  0.119
Ba  0.313  0.470  0.119
Ba  0.344  0.657  0.103
Ba  0.344  0.843  0.103
Ba  0.354  0.250  0.899
Ba  0.475  0.659  0.587
Ba  0.475  0.841  0.587
Ba  0.525  0.159  0.413
Ba  0.525  0.341  0.413
Ba  0.646  0.750  0.101
Ba  0.656  0.157  0.897
Ba  0.656  0.343  0.897
Ba  0.687  0.530  0.881
Ba  0.687  0.970  0.881
Ba  0.813  0.030  0.381
Ba  0.813  0.470  0.381
Ba  0.844  0.657  0.397
Ba  0.844  0.843  0.397
Ba  0.854  0.250  0.601
Ba  0.975  0.659  0.913
Ba  0.975  0.841  0.913
Sn  0.050  0.553  0.200
Sn  0.050  0.947  0.200
Sn  0.244  0.250  0.307
Sn  0.256  0.750  0.807
Sn  0.450  0.053  0.700
Sn  0.450  0.447  0.700
Sn  0.550  0.553  0.300
Sn  0.550  0.947  0.300
Sn  0.744  0.250  0.193
Sn  0.756  0.750  0.693
Sn  0.950  0.053  0.800
Sn  0.950  0.447  0.800
Se  0.047  0.250  0.357
Se  0.080  0.037  0.311
Se  0.080  0.463  0.311
Se  0.092  0.621  0.392
Se  0.092  0.879  0.392
Se  0.104  0.250  0.831
Se  0.141  0.073  0.860
Se  0.141  0.427  0.860
Se  0.150  0.750  0.038
Se  0.166  0.573  0.986
Se  0.166  0.927  0.986
Se  0.215  0.668  0.669
Se  0.215  0.832  0.669
Se  0.285  0.168  0.169
Se  0.285  0.332  0.169
Se  0.334  0.073  0.486
Se  0.334  0.427  0.486
Se  0.350  0.250  0.538
Se  0.359  0.573  0.360
Se  0.359  0.927  0.360
Se  0.396  0.750  0.331
Se  0.408  0.121  0.892
Se  0.408  0.379  0.892
Se  0.420  0.537  0.811
Se  0.420  0.963  0.811
Se  0.453  0.750  0.857
Se  0.547  0.250  0.143
Se  0.580  0.037  0.189
Se  0.580  0.463  0.189
Se  0.592  0.621  0.108
Se  0.592  0.879  0.108
Se  0.604  0.250  0.669
Se  0.641  0.073  0.640
Se  0.641  0.427  0.640
Se  0.650  0.750  0.462
Se  0.666  0.573  0.514
Se  0.666  0.927  0.514
Se  0.715  0.668  0.831
Se  0.715  0.832  0.831
Se  0.785  0.168  0.331
Se  0.785  0.332  0.331
Se  0.834  0.073  0.014
Se  0.834  0.427  0.014
Se  0.850  0.250  0.962
Se  0.859  0.573  0.140
Se  0.859  0.927  0.140
Se  0.896  0.750  0.169
Se  0.908  0.121  0.608
Se  0.908  0.379  0.608
Se  0.920  0.537  0.689
Se  0.920  0.963  0.689
Se  0.953  0.750  0.643

# 3
Density functional theory data (GGA-PBE) for crystalline CrSiTeW2 at its relaxed geometry.

Electronic total energy (eV for the cell shown): -38.21
ΔE_f (raw) (eV/atom): 1.18

Cell lengths 4.660, 4.660, 4.289 Å; angles 90.00, 90.00, 90.00 degrees
Element x y z (fractional)
Cr  0.000  0.000  0.000
Si  0.000  0.000  0.500
Te  0.500  0.500  0.500
W  0.000  0.500  0.000
W  0.500  0.000  0.000